# K3Nd2CrO6 | the Alexandria database | PBE with a Hubbard U | optimized geometry
# - VASP energy: -6.4346 eV/atom
data_K3Nd2CrO6
_chemical_formula_sum 'K6 Nd4 Cr2 O12'
_symmetry_space_group_name_H-M 'C 1 2/m 1'
_symmetry_Int_Tables_number 12
_cell_length_a 6.011
_cell_length_b 10.417
_cell_length_c 6.554
_cell_angle_alpha 90.00
_cell_angle_beta 107.62
_cell_angle_gamma 90.00
loop_
_symmetry_equiv_pos_as_xyz
'x,y,z'
'-x,-y,-z'
'-x,y,-z'
'x,-y,z'
'x+1/2,y+1/2,z'
'-x+1/2,-y+1/2,-z'
'-x+1/2,y+1/2,-z'
'x+1/2,-y+1/2,z'
loop_
_atom_site_label
_atom_site_type_symbol
_atom_site_fract_x
_atom_site_fract_y
_atom_site_fract_z
_atom_site_occupancy
K1 K 0.000 0.000 0.000 1
K2 K 0.000 0.340 0.000 1
Nd1 Nd 0.000 0.167 0.500 1
Cr1 Cr 0.000 0.500 0.500 1
O1 O 0.212 0.349 0.685 1
O2 O 0.241 0.500 0.317 1